Compound: CuRuSe2
Source: the Alexandria database
Functional: meta-GGA SCAN
Structure: single point on PBEsol structure

```
4
Lattice="-3.107 0.307 2.347 2.248 -2.758 1.612 2.217 3.273 2.507" Properties=species:S:1:pos:R:3 pbc="T T T"
Se 1.633 -2.406 1.697
Se -0.101 0.858 3.341
Ru 1.960 -0.322 3.058
Cu -0.425 -1.228 1.979
```

Values from the calculation:
M_tot: 0.00 μB/f.u.
DOS at the Fermi energy: 0.5111 states/eV per atom
SG: Amm2
formation energy from raw total energies: -10.1 meV/atom
ρ: 7.78 g cm⁻³